VASP calculation (PBE-GGA) on a geometry-optimized AsBrO structure.

## Properties
The symmetry is No. 2. The density is 3.3 Mg/m³.

Cell and atoms, written as CIF:
```
data_AsBrO
_cell_length_a 4.0610
_cell_length_b 6.4268
_cell_length_c 6.7559
_cell_angle_alpha 96.53
_cell_angle_beta 97.09
_cell_angle_gamma 100.70
_space_group_name_H-M_alt 'P 1'
_space_group_IT_number 1
loop_
_space_group_symop_operation_xyz
'x,y,z'
loop_
_atom_site_label
_atom_site_fract_x
_atom_site_fract_y
_atom_site_fract_z
Br1 0.6711 0.1803 0.2755
O1 0.6520 0.4219 0.8718
O2 0.3480 0.5781 0.1282
Br2 0.3289 0.8197 0.7245
As1 0.3129 0.2997 0.0085
As2 0.6871 0.7003 0.9915
```

=====

VASP calculation (PBE-GGA) on a geometry-optimized CaSeO2F structure.

## Properties
The symmetry is No. 123. The density is 3.8 Mg/m³.

Cell and atoms, written as CIF:
```
data_CaSeO2F
_cell_length_a 3.9668
_cell_length_b 3.9668
_cell_length_c 4.7017
_cell_angle_alpha 90.00
_cell_angle_beta 90.00
_cell_angle_gamma 90.00
_space_group_name_H-M_alt 'P 1'
_space_group_IT_number 1
loop_
_space_group_symop_operation_xyz
'x,y,z'
loop_
_atom_site_label
_atom_site_fract_x
_atom_site_fract_y
_atom_site_fract_z
Se1 0.0000 0.0000 0.0000
O1 0.0000 0.5000 0.0000
O2 0.5000 0.0000 0.0000
Ca1 0.5000 0.5000 0.5000
F1 0.0000 0.0000 0.5000
```

=====

Calculated values (eV per atom) of energy relative to the elements, uncorrected for the records, taken in order: -0.790; -1.405.
Calculated values (μB per atom) of total magnetic moment for the records, taken in order: 0.00; 0.00.